# Zr2CdCoO

An optimized crystal structure of Zr2CdCoO (GGA+U, Alexandria).

## Properties
* VASP energy: -6.422 eV per atom
* mass density: 7.4 g cm⁻³
* D(E_F): 3.285 states/eV/cell
* total magnetic moment: 1.9 μB/cell

a = 4.441 Å, b = 4.441 Å, c = 4.230 Å
α = 90.00°, β = 90.00°, γ = 90.00°
Element x y z (fractional)
Co 0.000 0.000 0.500
O 0.000 0.000 0.000
Zr 0.000 0.500 0.000
Zr 0.500 0.000 0.000
Cd 0.500 0.500 0.500